No. 1
An optimized crystal structure of SrHo2ErSe4, computed with PBE-GGA.

Cell lengths 4.110, 7.168, 7.167 Å; angles 70.93, 90.00, 90.00 degrees
Fractional coordinates of all 8 atoms:
Sr1 0.500 0.500 0.000
Ho1 0.000 0.000 0.000
Ho2 0.500 0.000 0.500
Er1 0.000 0.500 0.500
Se1 0.000 0.762 0.737
Se2 0.000 0.238 0.263
Se3 0.500 0.755 0.257
Se4 0.500 0.245 0.743

Computed properties:
Space group: P2/m (10)
E in eV per atom: -5.4304
M_tot in μB per formula unit: 0.00

No. 2
An optimized crystal structure of TbHoEr2Se4, computed with PBE-GGA.

Cell lengths 4.004, 7.045, 7.067 Å; angles 71.18, 90.00, 90.00 degrees
Fractional coordinates of all 8 atoms:
Tb1 0.500 0.500 0.000
Ho1 0.000 0.500 0.500
Er1 0.000 0.000 0.000
Er2 0.500 0.000 0.500
Se1 0.000 0.754 0.747
Se2 0.000 0.246 0.253
Se3 0.500 0.753 0.251
Se4 0.500 0.247 0.749

Computed properties:
Space group: P2/m (10)
E in eV per atom: -5.7520
M_tot in μB per formula unit: 0.00